# CaAgPd2Pt, relaxed, DFT GGA-PBE
# * size of the total moment: 0.00 μB per formula unit
# * VASP energy: -19.98 eV for the cell shown
# * crystal system: tetragonal
# * ΔH_f (0 K): 0.2591 eV/atom
data_CaAgPd2Pt
_cell_length_a 4.978
_cell_length_b 4.978
_cell_length_c 5.040
_cell_angle_alpha 90.00
_cell_angle_beta 90.00
_cell_angle_gamma 90.00
_symmetry_space_group_name_H-M 'P 4/m m m'
_symmetry_Int_Tables_number 123
_symmetry_space_group_name_Hall '-P 4 2'
loop_
_atom_site_label
_atom_site_fract_x
_atom_site_fract_y
_atom_site_fract_z
_atom_site_occupancy
Ca1 0.000 0.000 0.000 1
Ag1 0.500 0.500 0.000 1
Pd1 0.000 0.500 0.500 1
Pt1 0.500 0.500 0.500 1